Model i:
La12Tb5Y2: relaxed, PBE.

Geometry as extended XYZ:
```
19
Lattice="8.248 -4.784 0.000 8.248 4.784 0.000 -0.135 0.000 8.580" Properties=species:S:1:pos:R:3 pbc="T T T"
La 0.773 0.000 1.843
La 5.208 1.999 6.214
La 6.458 2.640 1.078
La 9.903 2.640 7.502
La 5.557 0.000 3.112
La 11.153 1.999 2.366
La 5.208 -1.999 6.214
La 10.804 0.000 5.468
La 6.458 -2.640 1.078
La 9.903 -2.640 7.502
La 11.153 -1.999 2.366
La 15.588 0.000 6.737
Tb 2.384 0.000 4.829
Tb 4.085 0.000 0.251
Tb 8.248 0.000 0.000
Tb 12.276 0.000 8.328
Tb 13.977 0.000 3.751
Y 8.180 2.084 4.290
Y 8.180 -2.084 4.290
```

Calculated values
* symmetry: C2/m
* density: 6.47 g cm⁻³

***

Model ii:
La12Tb5Y2: relaxed, PBE.

Geometry as extended XYZ:
```
19
Lattice="9.816 -3.855 0.000 9.816 3.855 0.000 -4.818 0.000 8.843" Properties=species:S:1:pos:R:3 pbc="T T T"
La 18.642 0.000 1.805
La -3.828 0.000 7.037
La 4.162 2.068 4.529
La 5.958 1.939 1.370
La 10.652 2.068 4.314
La 8.856 1.939 7.473
La 6.412 0.000 5.657
La 8.402 0.000 3.185
La 5.958 -1.939 1.370
La 4.162 -2.068 4.529
La 8.856 -1.939 7.473
La 10.652 -2.068 4.314
Tb -2.409 0.000 4.421
Tb 2.631 0.000 1.509
Tb 2.362 0.000 7.149
Tb 12.452 0.000 1.693
Tb 12.183 0.000 7.333
Y 9.816 1.526 0.000
Y 9.816 -1.526 0.000
```

Calculated values
* symmetry: C2/m
* density: 6.55 g cm⁻³

***

Relative to the most stable structure, the computed energies are model i 0; model ii 24, all in meV per atom.

***

Model i:
LaTb4Y5: relaxed, PBE.

Geometry as extended XYZ:
```
10
Lattice="11.041 -1.852 0.000 11.041 1.852 0.000 -1.026 0.000 8.110" Properties=species:S:1:pos:R:3 pbc="T T T"
La 0.000 0.000 0.000
Tb 4.095 0.000 0.439
Tb 7.849 0.000 5.421
Tb 13.206 0.000 2.689
Tb 16.960 0.000 7.671
Y -0.513 0.000 4.055
Y 4.142 0.000 5.197
Y 8.617 0.000 1.970
Y 12.438 0.000 6.140
Y 16.913 0.000 2.913
```

Calculated values
* symmetry: C2/m
* density: 6.11 g cm⁻³

***

Model ii:
LaTb4Y5: relaxed, PBE.

Geometry as extended XYZ:
```
10
Lattice="-5.151 5.151 3.156 5.151 -5.151 3.156 5.151 5.151 -3.156" Properties=species:S:1:pos:R:3 pbc="T T T"
La 0.000 0.000 0.000
Tb 5.677 -1.516 1.692
Tb 4.626 1.516 1.692
Tb -1.516 4.626 1.692
Tb 1.516 5.677 1.692
Y 3.632 2.736 -1.424
Y 2.415 -1.520 1.732
Y 2.736 6.671 -1.424
Y 1.520 2.415 1.732
Y 0.000 0.000 3.433
```

Calculated values
* symmetry: I4
* density: 6.04 g cm⁻³

***

Relative to the most stable structure, the computed energies are model i 0; model ii 236, all in meV per atom.